A relaxed structure of LiPrMn2Se4, computed with PBE.

Geometry as extended XYZ:
```
16
Lattice="4.0360 0.0000 0.0000 -2.0180 6.6315 0.0000 0.0000 0.0000 13.1211" Properties=species:S:1:pos:R:3 pbc="T T T"
Se 0.0000 3.6308 5.0886
Se 2.0180 0.6165 3.2803
Se 0.0000 0.0000 6.5605
Se 2.0180 3.0006 11.6492
Se 0.0000 6.0149 9.8408
Se 0.0000 0.0000 0.0000
Se 2.0180 3.0006 8.0324
Se 0.0000 3.6308 1.4719
Mn 2.0180 1.6586 0.7587
Mn 2.0180 1.6586 5.8018
Mn 0.0000 4.9728 7.3192
Mn 0.0000 4.9728 12.3624
Li 0.0000 1.9658 3.2803
Li 2.0180 4.6656 9.8408
Pr 2.0180 5.0218 3.2803
Pr 0.0000 1.6097 9.8408
```

Summary:
Symmetry: No. 63
Total moment (Bohr magnetons per cell): 19.90
Uncorrected formation energy (eV per atom): -0.97

***

A relaxed structure of LiTbPrMn, computed with PBE.

Geometry as extended XYZ:
```
4
Lattice="-3.9058 1.2198 3.1344 -1.2626 -3.1408 3.8870 0.9452 1.4127 4.8661" Properties=species:S:1:pos:R:3 pbc="T T T"
Tb -2.1116 -0.2541 5.9438
Mn -1.0558 -0.1271 2.9719
Pr 0.0000 0.0000 0.0000
Li -3.1674 -0.3812 8.9156
```

Summary:
Energy relative to the elements (eV per atom): 0.157
Symmetry: No. 216
Total moment (Bohr magnetons per cell): 2.55

***

A relaxed structure of Li2MnPt, computed with PBE.

Geometry as extended XYZ:
```
4
Lattice="-4.3088 -1.5556 -1.2075 3.5088 -2.0897 -2.4011 0.1638 -1.9708 1.9546" Properties=species:S:1:pos:R:3 pbc="T T T"
Mn -2.0725 -1.7632 0.3735
Pt 1.8363 -2.0302 -0.2232
Li -0.4000 -1.8227 -1.8043
Li 0.0000 0.0000 0.0000
```

Summary:
Energy relative to the elements (eV per atom): -0.136
Symmetry: No. 65
Energy above the lowest structure with this stoichiometry (meV/atom): 165.1
Total moment (Bohr magnetons per cell): 3.99

***

A relaxed structure of LiMnPt, computed with PBE.

Geometry as extended XYZ:
```
6
Lattice="4.0078 -2.3139 0.0000 0.0000 4.6278 0.0000 0.0000 0.0000 9.4959" Properties=species:S:1:pos:R:3 pbc="T T T"
Mn 0.0000 0.0000 2.3740
Mn 0.0000 0.0000 7.1220
Pt 0.0000 0.0000 4.7480
Pt 0.0000 0.0000 0.0000
Li 1.3359 2.3139 2.3740
Li 2.6719 0.0000 7.1220
```

Summary:
Energy relative to the elements (eV per atom): 1.115
Symmetry: No. 194
Energy above the lowest structure with this stoichiometry (meV/atom): 1414.7
Total moment (Bohr magnetons per cell): 9.92

***

| no. | total DFT energy (no corrections) (eV per cell) |
| --- | --- |
| 1 | -93.49 |
| 2 | -19.87 |
| 3 | -19.58 |
| 4 | -27.56 |